MgCrIO2 PBE with a Hubbard U optimized geometry; E above lowest polymorph = 0 kJ/mol of formula units; density of states at the Fermi level = 0.497 states/eV per atom; crystal system = tetragonal; space group = P4/mmm; total moment = 2.78 μB/f.u.
1.0
3.941 0.000 0.000
0.000 3.941 0.000
0.000 0.000 5.603
Mg Cr I O
1 1 1 2
direct
0.000 0.000 0.000
0.500 0.500 0.500
0.500 0.500 0.000
0.000 0.500 0.500
0.500 0.000 0.500